(1)
# Cs3NaZn

A PBEsol-optimized structure of Cs3NaZn (SCAN, Alexandria).

Values from the calculation:
formation enthalpy at 0 K: 0.80 eV per formula unit
crystal system: cubic

Geometry as CIF:
```
data_Cs3NaZn
_chemical_formula_sum 'Cs3 Na1 Zn1'
_symmetry_space_group_name_H-M 'P m -3 m'
_symmetry_Int_Tables_number 221
_symmetry_space_group_name_Hall '-P 4 2 3'
_cell_length_a 7.096
_cell_length_b 7.096
_cell_length_c 7.096
_cell_angle_alpha 90.00
_cell_angle_beta 90.00
_cell_angle_gamma 90.00
loop_
_atom_site_label
_atom_site_type_symbol
_atom_site_fract_x
_atom_site_fract_y
_atom_site_fract_z
Cs1 Cs 0.000 0.000 0.500
Na1 Na 0.500 0.500 0.500
Zn1 Zn 0.000 0.000 0.000
```

(2)
# Zr3FeO

A PBEsol-optimized structure of Zr3FeO (SCAN, Alexandria).

Values from the calculation:
E_form (uncorrected): -1.078 eV/atom
crystal system: cubic

Geometry as CIF:
```
data_Zr3FeO
_chemical_formula_sum 'Zr3 Fe1 O1'
_symmetry_space_group_name_H-M 'P m -3 m'
_symmetry_Int_Tables_number 221
_symmetry_space_group_name_Hall '-P 4 2 3'
_cell_length_a 4.357
_cell_length_b 4.357
_cell_length_c 4.357
_cell_angle_alpha 90.00
_cell_angle_beta 90.00
_cell_angle_gamma 90.00
loop_
_atom_site_label
_atom_site_type_symbol
_atom_site_fract_x
_atom_site_fract_y
_atom_site_fract_z
Zr1 Zr 0.000 0.000 0.500
Fe1 Fe 0.500 0.500 0.500
O1 O 0.000 0.000 0.000
```

(3)
# K3C

A PBEsol-optimized structure of K3C (SCAN, Alexandria).

Values from the calculation:
formation enthalpy at 0 K: 4.02 eV per formula unit
crystal system: orthorhombic

Geometry as CIF:
```
data_K3C
_chemical_formula_sum 'K6 C2'
_symmetry_space_group_name_H-M 'I m m 2'
_symmetry_Int_Tables_number 44
_symmetry_space_group_name_Hall 'I 2 -2'
_cell_length_a 4.011
_cell_length_b 11.929
_cell_length_c 7.429
_cell_angle_alpha 90.00
_cell_angle_beta 90.00
_cell_angle_gamma 90.00
loop_
_atom_site_label
_atom_site_type_symbol
_atom_site_fract_x
_atom_site_fract_y
_atom_site_fract_z
K1 K 0.000 0.000 0.000
K2 K 0.000 0.152 0.428
C1 C 0.000 0.500 0.781
```

(4)
# Sb2RuRh

A PBEsol-optimized structure of Sb2RuRh (SCAN, Alexandria).

Values from the calculation:
E_form (uncorrected): 0.073 eV/atom
crystal system: tetragonal

Geometry as CIF:
```
data_Sb2RuRh
_chemical_formula_sum 'Sb4 Ru2 Rh2'
_symmetry_space_group_name_H-M 'I 4/m m m'
_symmetry_Int_Tables_number 139
_symmetry_space_group_name_Hall '-I 4 2'
_cell_length_a 4.537
_cell_length_b 4.537
_cell_length_c 6.659
_cell_angle_alpha 90.00
_cell_angle_beta 90.00
_cell_angle_gamma 90.00
loop_
_atom_site_label
_atom_site_type_symbol
_atom_site_fract_x
_atom_site_fract_y
_atom_site_fract_z
Sb1 Sb 0.000 0.500 0.250
Ru1 Ru 0.000 0.000 0.000
Rh1 Rh 0.000 0.000 0.500
```

(5)
# SrN2ClF

A PBEsol-optimized structure of SrN2ClF (SCAN, Alexandria).

Values from the calculation:
E_form (uncorrected): 0.256 eV/atom
crystal system: tetragonal

Geometry as CIF:
```
data_SrN2ClF
_chemical_formula_sum 'Sr1 N2 Cl1 F1'
_symmetry_space_group_name_H-M 'P 4/m m m'
_symmetry_Int_Tables_number 123
_symmetry_space_group_name_Hall '-P 4 2'
_cell_length_a 5.305
_cell_length_b 5.305
_cell_length_c 4.437
_cell_angle_alpha 90.00
_cell_angle_beta 90.00
_cell_angle_gamma 90.00
loop_
_atom_site_label
_atom_site_type_symbol
_atom_site_fract_x
_atom_site_fract_y
_atom_site_fract_z
Sr1 Sr 0.000 0.000 0.000
N1 N 0.000 0.500 0.000
Cl1 Cl 0.500 0.500 0.500
F1 F 0.000 0.000 0.500
```

(6)
# NbMo3P

A PBEsol-optimized structure of NbMo3P (SCAN, Alexandria).

Values from the calculation:
formation enthalpy at 0 K: 11.12 eV per formula unit
crystal system: cubic

Geometry as CIF:
```
data_NbMo3P
_chemical_formula_sum 'Nb1 Mo3 P1'
_symmetry_space_group_name_H-M 'P m -3 m'
_symmetry_Int_Tables_number 221
_symmetry_space_group_name_Hall '-P 4 2 3'
_cell_length_a 4.690
_cell_length_b 4.690
_cell_length_c 4.690
_cell_angle_alpha 90.00
_cell_angle_beta 90.00
_cell_angle_gamma 90.00
loop_
_atom_site_label
_atom_site_type_symbol
_atom_site_fract_x
_atom_site_fract_y
_atom_site_fract_z
Nb1 Nb 0.000 0.000 0.000
Mo1 Mo 0.000 0.000 0.500
P1 P 0.500 0.500 0.500
```

(7)
# RbMg2RuS

A PBEsol-optimized structure of RbMg2RuS (SCAN, Alexandria).

Values from the calculation:
E_form (uncorrected): 1.812 eV/atom
crystal system: tetragonal

Geometry as CIF:
```
data_RbMg2RuS
_chemical_formula_sum 'Rb1 Mg2 Ru1 S1'
_symmetry_space_group_name_H-M 'P 4/m m m'
_symmetry_Int_Tables_number 123
_symmetry_space_group_name_Hall '-P 4 2'
_cell_length_a 5.610
_cell_length_b 5.610
_cell_length_c 5.280
_cell_angle_alpha 90.00
_cell_angle_beta 90.00
_cell_angle_gamma 90.00
loop_
_atom_site_label
_atom_site_type_symbol
_atom_site_fract_x
_atom_site_fract_y
_atom_site_fract_z
Rb1 Rb 0.000 0.000 0.000
Mg1 Mg 0.000 0.500 0.000
Ru1 Ru 0.500 0.500 0.500
S1 S 0.000 0.000 0.500
```

(8)
# CaTaTc2

A PBEsol-optimized structure of CaTaTc2 (SCAN, Alexandria).

Values from the calculation:
formation enthalpy at 0 K: 1.85 eV per formula unit
crystal system: monoclinic

Geometry as CIF:
```
data_CaTaTc2
_chemical_formula_sum 'Ca2 Ta2 Tc4'
_symmetry_space_group_name_H-M 'C 1 2/m 1'
_symmetry_Int_Tables_number 12
_symmetry_space_group_name_Hall '-C 2y'
_cell_length_a 5.963
_cell_length_b 8.844
_cell_length_c 2.696
_cell_angle_alpha 90.00
_cell_angle_beta 109.45
_cell_angle_gamma 90.00
loop_
_atom_site_label
_atom_site_type_symbol
_atom_site_fract_x
_atom_site_fract_y
_atom_site_fract_z
Ca1 Ca 0.000 0.000 0.000
Ta1 Ta 0.000 0.500 0.000
Tc1 Tc 0.250 0.250 0.500
```

no.,ρ (g/cm³),total moment (μB/cell)
1,2.26,0.00
2,6.94,2.35
3,1.21,3.71
4,10.84,2.48
5,2.26,6.02
6,6.63,2.26
7,2.67,2.96
8,10.33,0.00